Record 1
The following is a PBE-GGA calculation of a geometry-optimized PuZrFeIr structure, from the Alexandria database.

Lattice parameters (Å, degrees): 4.707 4.707 4.707 60.00 60.00 60.00
Fractional coordinates of all 4 atoms:
Pu 0.000 0.000 0.000
Zr 0.500 0.500 0.500
Fe 0.250 0.250 0.250
Ir 0.750 0.750 0.750

Summary:
VASP energy ... -41.358 eV/cell
Density ... 13.14 g cm⁻³



Record 2
The following is a PBE-GGA calculation of a geometry-optimized Rb2Fe2Ir structure, from the Alexandria database.

Lattice parameters (Å, degrees): 9.562 9.562 2.808 90.00 90.00 90.00
Fractional coordinates of all 10 atoms:
Rb 0.130 0.370 0.000
Rb 0.370 0.870 0.000
Rb 0.630 0.130 0.000
Rb 0.870 0.630 0.000
Fe 0.177 0.677 0.500
Fe 0.323 0.177 0.500
Fe 0.677 0.823 0.500
Fe 0.823 0.323 0.500
Ir 0.000 0.000 0.000
Ir 0.500 0.500 0.000

Summary:
ΔE to the lowest computed polymorph ... 753 meV/atom
Density ... 6.14 g cm⁻³



Record 3
The following is a PBE-GGA calculation of a geometry-optimized RbFe3Ir structure, from the Alexandria database.

Lattice parameters (Å, degrees): 4.490 4.490 4.490 90.00 90.00 90.00
Fractional coordinates of all 5 atoms:
Rb 0.000 0.000 0.000
Fe 0.000 0.000 0.500
Fe 0.000 0.500 0.000
Fe 0.500 0.000 0.000
Ir 0.500 0.500 0.500

Summary:
ΔE to the lowest computed polymorph ... 1712 meV/atom
Density ... 8.17 g cm⁻³



Record 4
The following is a PBE-GGA calculation of a geometry-optimized Rb2Fe2Ir structure, from the Alexandria database.

Lattice parameters (Å, degrees): 11.816 11.816 11.816 164.90 164.90 21.41
Fractional coordinates of all 5 atoms:
Rb 0.111 0.111 0.000
Rb 0.889 0.889 0.000
Fe 0.250 0.750 0.500
Fe 0.750 0.250 0.500
Ir 0.500 0.500 0.000

Summary:
ΔE to the lowest computed polymorph ... 0 meV/atom
Density ... 7.05 g cm⁻³